Computed, not measured: crystalline Th2H2Pb at its relaxed geometry at the GGA-PBE level of DFT.

a b c (Å): 8.2320 8.2320 8.2320
angles (deg): 154.95 154.95 35.72
Sites, in units of the cell vectors:
1 Th 0.1518 0.1518 0.0000
2 Th 0.8482 0.8482 0.0000
3 H 0.2500 0.7500 0.5000
4 H 0.7500 0.2500 0.5000
5 Pb 0.5000 0.5000 0.0000

SG: I4/mmm
Crystal system: tetragonal
Energy above the lowest structure with this stoichiometry, meV per atom: 9

=====

Computed, not measured: crystalline P2PdO2 at its relaxed geometry at the GGA-PBE level of DFT.

a b c (Å): 3.3734 3.3734 5.4004
angles (deg): 90.00 90.00 90.00
Sites, in units of the cell vectors:
1 P 0.0000 0.0000 0.0000
2 P 0.0000 0.0000 0.5000
3 Pd 0.5000 0.5000 0.0000
4 O 0.0000 0.5000 0.5000
5 O 0.5000 0.0000 0.5000

ΔE_f (raw), eV/atom: -0.42
SG: P4/mmm
Crystal system: tetragonal
Energy above the lowest structure with this stoichiometry, meV per atom: 0

=====

Computed, not measured: crystalline Hg5Pd3Br12 at its relaxed geometry at the GGA-PBE level of DFT.

a b c (Å): 15.1584 15.1584 15.1584
angles (deg): 109.47 109.47 109.47
Sites, in units of the cell vectors:
1 Hg 0.0000 0.0000 0.0000
2 Hg 0.0000 0.0000 0.5000
3 Hg 0.0000 0.5000 0.0000
4 Hg 0.0000 0.5000 0.5000
5 Hg 0.1250 0.7500 0.8750
6 Hg 0.1250 0.8750 0.2500
7 Hg 0.2500 0.1250 0.8750
8 Hg 0.2500 0.6250 0.3750
9 Hg 0.3750 0.2500 0.6250
10 Hg 0.3750 0.6250 0.7500
11 Hg 0.5000 0.0000 0.0000
12 Hg 0.5000 0.0000 0.5000
13 Hg 0.5000 0.5000 0.0000
14 Hg 0.5000 0.5000 0.5000
15 Hg 0.6250 0.3750 0.2500
16 Hg 0.6250 0.7500 0.3750
17 Hg 0.7500 0.3750 0.6250
18 Hg 0.7500 0.8750 0.1250
19 Hg 0.8750 0.1250 0.7500
20 Hg 0.8750 0.2500 0.1250
21 Pd 0.1250 0.2500 0.3750
22 Pd 0.1250 0.3750 0.7500
23 Pd 0.2500 0.3750 0.1250
24 Pd 0.2500 0.8750 0.6250
25 Pd 0.3750 0.1250 0.2500
26 Pd 0.3750 0.7500 0.1250
27 Pd 0.6250 0.2500 0.8750
28 Pd 0.6250 0.8750 0.7500
29 Pd 0.7500 0.1250 0.3750
30 Pd 0.7500 0.6250 0.8750
31 Pd 0.8750 0.6250 0.2500
32 Pd 0.8750 0.7500 0.6250
33 Br 0.0225 0.6863 0.6563
34 Br 0.0225 0.8362 0.3662
35 Br 0.0300 0.1863 0.1638
36 Br 0.0300 0.3437 0.8662
37 Br 0.1338 0.6638 0.4775
38 Br 0.1338 0.9700 0.6563
39 Br 0.1563 0.1863 0.5225
40 Br 0.1563 0.4700 0.6338
41 Br 0.1638 0.0300 0.1863
42 Br 0.1638 0.6338 0.9775
43 Br 0.1863 0.1638 0.0300
44 Br 0.1863 0.5225 0.1563
45 Br 0.3137 0.3437 0.9775
46 Br 0.3137 0.4700 0.3362
47 Br 0.3362 0.3137 0.4700
48 Br 0.3362 0.5225 0.8662
49 Br 0.3437 0.8662 0.0300
50 Br 0.3437 0.9775 0.3137
51 Br 0.3662 0.0225 0.8362
52 Br 0.3662 0.8437 0.5300
53 Br 0.4700 0.3362 0.3137
54 Br 0.4700 0.6338 0.1563
55 Br 0.4775 0.1338 0.6638
56 Br 0.4775 0.8437 0.8137
57 Br 0.5225 0.1563 0.1863
58 Br 0.5225 0.8662 0.3362
59 Br 0.5300 0.3662 0.8437
60 Br 0.5300 0.6638 0.6863
61 Br 0.6338 0.1563 0.4700
62 Br 0.6338 0.9775 0.1638
63 Br 0.6563 0.0225 0.6863
64 Br 0.6563 0.1338 0.9700
65 Br 0.6638 0.4775 0.1338
66 Br 0.6638 0.6863 0.5300
67 Br 0.6863 0.5300 0.6638
68 Br 0.6863 0.6563 0.0225
69 Br 0.8137 0.4775 0.8437
70 Br 0.8137 0.8362 0.9700
71 Br 0.8362 0.3662 0.0225
72 Br 0.8362 0.9700 0.8137
73 Br 0.8437 0.5300 0.3662
74 Br 0.8437 0.8137 0.4775
75 Br 0.8662 0.0300 0.3437
76 Br 0.8662 0.3362 0.5225
77 Br 0.9700 0.6563 0.1338
78 Br 0.9700 0.8137 0.8362
79 Br 0.9775 0.1638 0.6338
80 Br 0.9775 0.3137 0.3437

ΔE_f (raw), eV/atom: -0.11
SG: Ia-3d
Crystal system: cubic

=====

Computed, not measured: crystalline Na2In12Ag7 at its relaxed geometry at the GGA-PBE level of DFT.

a b c (Å): 11.6547 11.6547 4.3378
angles (deg): 90.00 90.00 120.00
Sites, in units of the cell vectors:
1 Na 0.0000 0.0000 0.0000
2 Na 0.3333 0.6667 0.5000
3 In 0.0499 0.2864 0.5000
4 In 0.1122 0.7231 0.0000
5 In 0.2365 0.9501 0.5000
6 In 0.2769 0.3891 0.0000
7 In 0.3841 0.1771 0.0000
8 In 0.5346 0.4251 0.5000
9 In 0.5749 0.1095 0.5000
10 In 0.6109 0.8878 0.0000
11 In 0.7136 0.7635 0.5000
12 In 0.7929 0.6159 0.0000
13 In 0.8229 0.2071 0.0000
14 In 0.8905 0.4654 0.5000
15 Ag 0.0775 0.4683 0.0000
16 Ag 0.2324 0.1958 0.5000
17 Ag 0.3909 0.9225 0.0000
18 Ag 0.5317 0.6091 0.0000
19 Ag 0.6667 0.3333 0.0000
20 Ag 0.8042 0.0367 0.5000
21 Ag 0.9633 0.7676 0.5000

SG: P-6
Crystal system: hexagonal
E, eV/atom: -2.67

=====

Computed, not measured: crystalline CuRhW2 at its relaxed geometry at the GGA-PBE level of DFT.

a b c (Å): 2.7182 4.3872 4.9208
angles (deg): 90.00 94.33 90.00
Sites, in units of the cell vectors:
1 Cu 0.0000 0.0000 0.0000
2 Rh 0.0032 0.5000 0.2971
3 W 0.4359 0.5000 0.8150
4 W 0.5715 0.0000 0.4959

SG: Pm
Crystal system: monoclinic
Energy above the lowest structure with this stoichiometry, meV per atom: 0

=====

Computed, not measured: crystalline Li2PrCd9 at its relaxed geometry at the GGA-PBE level of DFT.

a b c (Å): 9.1433 9.1433 9.1433
angles (deg): 99.66 99.66 131.62
Sites, in units of the cell vectors:
1 Li 0.0000 0.0000 0.0000
2 Li 0.0000 0.0000 0.5000
3 Li 0.0000 0.5000 0.0000
4 Li 0.5000 0.0000 0.5000
5 Pr 0.3750 0.6250 0.7500
6 Pr 0.6250 0.3750 0.2500
7 Cd 0.1250 0.8750 0.2500
8 Cd 0.1295 0.5592 0.3289
9 Cd 0.1295 0.8006 0.5703
10 Cd 0.1994 0.2697 0.3289
11 Cd 0.1994 0.8705 0.9297
12 Cd 0.2697 0.1994 0.8289
13 Cd 0.2697 0.4408 0.0703
14 Cd 0.4408 0.2697 0.5703
15 Cd 0.4408 0.8705 0.1711
16 Cd 0.5592 0.1295 0.8289
17 Cd 0.5592 0.7303 0.4297
18 Cd 0.7303 0.5592 0.9297
19 Cd 0.7303 0.8006 0.1711
20 Cd 0.8006 0.1295 0.0703
21 Cd 0.8006 0.7303 0.6711
22 Cd 0.8705 0.1994 0.4297
23 Cd 0.8705 0.4408 0.6711
24 Cd 0.8750 0.1250 0.7500

SG: I4_1/amd
Crystal system: tetragonal
E, eV/atom: -1.63

=====

Computed, not measured: crystalline FeIr3Rh4 at its relaxed geometry at the GGA-PBE level of DFT.

a b c (Å): 10.9051 10.9051 4.3419
angles (deg): 97.76 97.76 14.19
Sites, in units of the cell vectors:
1 Fe 0.0000 0.0000 0.0000
2 Ir 0.2916 0.2916 0.2033
3 Ir 0.5000 0.5000 0.5000
4 Ir 0.7084 0.7084 0.7967
5 Rh 0.1003 0.1003 0.7431
6 Rh 0.1717 0.1717 0.2797
7 Rh 0.8283 0.8283 0.7203
8 Rh 0.8997 0.8997 0.2569

SG: C2/m
Crystal system: monoclinic
Energy above the lowest structure with this stoichiometry, meV per atom: 70

=====

Computed, not measured: crystalline NaIN2O at its relaxed geometry at the GGA-PBE level of DFT.

a b c (Å): 3.9987 3.9987 4.1710
angles (deg): 90.00 90.00 90.00
Sites, in units of the cell vectors:
1 Na 0.0000 0.0000 0.0000
2 I 0.5000 0.5000 0.5000
3 N 0.0000 0.5000 0.5000
4 N 0.5000 0.0000 0.5000
5 O 0.5000 0.5000 0.0000

ΔE_f (raw), eV/atom: 1.02
SG: P4/mmm
Crystal system: tetragonal

=====

Computed, not measured: crystalline ZnCo2Os at its relaxed geometry at the GGA-PBE level of DFT.

a b c (Å): 4.1119 4.1119 4.1119
angles (deg): 60.00 60.00 60.00
Sites, in units of the cell vectors:
1 Zn 0.0000 0.0000 0.0000
2 Co 0.5000 0.5000 0.5000
3 Co 0.7500 0.7500 0.7500
4 Os 0.2500 0.2500 0.2500

SG: F-43m
Crystal system: cubic
E, eV/atom: -6.37

=====

Computed, not measured: crystalline LiCdRh2 at its relaxed geometry at the GGA-PBE level of DFT.

a b c (Å): 5.2881 5.2881 5.2881
angles (deg): 147.41 128.84 61.99
Sites, in units of the cell vectors:
1 Li 0.0000 0.0000 0.0000
2 Cd 0.7436 0.2436 0.5000
3 Rh 0.2413 0.7413 0.5000
4 Rh 0.4782 0.4782 0.0000

SG: Imm2
Crystal system: orthorhombic
E, eV/atom: -4.43

=====

Computed, not measured: crystalline AcPmCdAg at its relaxed geometry at the GGA-PBE level of DFT.

a b c (Å): 3.8938 3.8938 7.8153
angles (deg): 90.00 90.00 90.00
Sites, in units of the cell vectors:
1 Ac 0.0000 0.0000 0.0000
2 Pm 0.0000 0.0000 0.4846
3 Cd 0.5000 0.5000 0.7192
4 Ag 0.5000 0.5000 0.2713

SG: P4mm
Crystal system: tetragonal
Energy above the lowest structure with this stoichiometry, meV per atom: 0

=====

Computed, not measured: crystalline Pm4Sm11Tm9 at its relaxed geometry at the GGA-PBE level of DFT.

a b c (Å): 15.2021 15.2021 3.6872
angles (deg): 90.00 90.00 112.99
Sites, in units of the cell vectors:
1 Pm 0.0545 0.2557 0.0000
2 Pm 0.2557 0.0545 0.0000
3 Pm 0.7443 0.9455 0.0000
4 Pm 0.9455 0.7443 0.0000
5 Sm 0.0934 0.4557 0.5000
6 Sm 0.1338 0.8662 0.5000
7 Sm 0.2102 0.2102 0.5000
8 Sm 0.3403 0.6597 0.5000
9 Sm 0.4557 0.0934 0.5000
10 Sm 0.5000 0.5000 0.5000
11 Sm 0.5443 0.9066 0.5000
12 Sm 0.6597 0.3403 0.5000
13 Sm 0.7898 0.7898 0.5000
14 Sm 0.8662 0.1338 0.5000
15 Sm 0.9066 0.5443 0.5000
16 Tm 0.0000 0.0000 0.0000
17 Tm 0.1336 0.6636 0.0000
18 Tm 0.2885 0.4343 0.0000
19 Tm 0.3365 0.8664 0.0000
20 Tm 0.4343 0.2885 0.0000
21 Tm 0.5657 0.7115 0.0000
22 Tm 0.6636 0.1336 0.0000
23 Tm 0.7115 0.5657 0.0000
24 Tm 0.8664 0.3365 0.0000

SG: Cmmm
Crystal system: orthorhombic
E, eV/atom: -4.57

=====

no.,volume (Å³/atom),Fermi-level density of states (states/eV per cell)
1,19.97,4.01
2,12.29,3.50
3,33.52,30.02
4,24.30,4.91
5,14.63,2.85
6,21.72,7.22
7,15.68,10.60
8,13.34,3.03
9,12.29,1.57
10,15.36,3.79
11,29.62,3.68
12,32.68,29.73